Entry 1:
Entry from the Alexandria database: an optimized crystal structure of La8Ir3OsI3 (PBE).

a b c (Å): 8.502 8.502 9.641
angles (deg): 116.23 116.23 59.91
Atoms (fractional coordinates):
La1 0.224 0.224 0.681
La2 0.225 0.734 0.682
La3 0.266 0.775 0.318
La4 0.272 0.272 0.318
La5 0.728 0.728 0.682
La6 0.734 0.225 0.682
La7 0.775 0.266 0.318
La8 0.776 0.776 0.319
Ir1 0.000 0.500 0.500
Ir2 0.500 0.000 0.500
Ir3 0.500 0.500 0.500
Os1 0.000 0.000 0.500
I1 0.000 0.000 0.000
I2 0.000 0.500 0.000
I3 0.500 0.000 0.000

Computed properties:
Its crystal system is monoclinic. The total magnetization is 0.04 Bohr magnetons per cell.

Entry 2:
Entry from the Alexandria database: an optimized crystal structure of La4PIrI2 (PBE).

a b c (Å): 7.718 4.206 8.312
angles (deg): 90.00 106.83 90.00
Atoms (fractional coordinates):
La1 0.215 0.000 0.187
La2 0.268 0.500 0.805
La3 0.732 0.500 0.195
La4 0.785 0.000 0.813
P1 0.500 0.000 0.000
Ir1 0.000 0.500 0.000
I1 0.000 0.000 0.500
I2 0.500 0.500 0.500

Computed properties:
Its crystal system is monoclinic. The total magnetization is 0.00 Bohr magnetons per cell.

Entry 3:
Entry from the Alexandria database: an optimized crystal structure of La6PIr2I3 (PBE).

a b c (Å): 7.457 7.457 8.509
angles (deg): 98.33 98.33 120.00
Atoms (fractional coordinates):
La1 0.094 0.437 0.812
La2 0.220 0.220 0.188
La3 0.437 0.094 0.812
La4 0.563 0.906 0.188
La5 0.780 0.780 0.812
La6 0.906 0.563 0.188
P1 0.500 0.500 0.000
Ir1 0.167 0.833 0.000
Ir2 0.833 0.167 0.000
I1 0.000 0.000 0.500
I2 0.335 0.665 0.500
I3 0.665 0.335 0.500

Computed properties:
Its crystal system is monoclinic. The total magnetization is 0.00 Bohr magnetons per cell.

Entry 4:
Entry from the Alexandria database: an optimized crystal structure of La8PIr3I3 (PBE).

a b c (Å): 8.602 8.602 9.388
angles (deg): 117.23 117.23 59.99
Atoms (fractional coordinates):
La1 0.220 0.736 0.691
La2 0.230 0.230 0.691
La3 0.264 0.780 0.309
La4 0.265 0.265 0.310
La5 0.735 0.735 0.690
La6 0.736 0.220 0.691
La7 0.770 0.770 0.309
La8 0.780 0.264 0.309
P1 0.500 0.500 0.500
Ir1 0.000 0.000 0.500
Ir2 0.000 0.500 0.500
Ir3 0.500 0.000 0.500
I1 0.000 0.500 0.000
I2 0.500 0.000 0.000
I3 0.500 0.500 0.000

Computed properties:
Its crystal system is monoclinic. The total magnetization is 0.00 Bohr magnetons per cell.

Number 1: E_form (uncorrected) -885 meV/atom. Number 2: E_form (uncorrected) -1221 meV/atom. Number 3: E_form (uncorrected) -1182 meV/atom. Number 4: E_form (uncorrected) -1018 meV/atom.